A relaxed structure of LiBe4Ag. Source: the Alexandria database, functional PBE.

abc: 4.4169 4.4169 4.4169
angles: 60.00 60.00 60.00
Positions (direct):
Li (0.0000, 0.0000, 0.0000)
Be (0.3753, 0.3753, 0.3753)
Be (0.3753, 0.3753, 0.8740)
Be (0.3753, 0.8740, 0.3753)
Be (0.8740, 0.3753, 0.3753)
Ag (0.7500, 0.7500, 0.7500)

ΔH_f (0 K) in eV/atom: -0.06


A relaxed structure of Y2TcW. Source: the Alexandria database, functional PBE.

abc: 5.6240 5.6240 3.0267
angles: 99.67 99.67 115.65
Positions (direct):
Y (0.0000, 0.5000, 0.0000)
Y (0.5000, 0.0000, 0.0000)
Tc (0.0000, 0.0000, 0.5000)
W (0.5000, 0.5000, 0.5000)

ΔH_f (0 K) in eV/atom: 0.58
Energy above the lowest structure with this stoichiometry in meV/atom: 505


A relaxed structure of InSb2Te. Source: the Alexandria database, functional PBE.

abc: 7.6833 7.6833 7.6833
angles: 33.07 33.07 33.07
Positions (direct):
In (0.0000, 0.0000, 0.0000)
Sb (0.2539, 0.2539, 0.2539)
Sb (0.7461, 0.7461, 0.7461)
Te (0.5000, 0.5000, 0.5000)

Uncorrected formation energy in meV/atom: 51
Energy above the lowest structure with this stoichiometry in meV/atom: 137


A relaxed structure of Hf6ReN. Source: the Alexandria database, functional PBE.

abc: 5.0099 5.7230 5.8109
angles: 97.79 112.95 91.10
Positions (direct):
Hf (0.0647, 0.2817, 0.1546)
Hf (0.2346, 0.8307, 0.4854)
Hf (0.3889, 0.3702, 0.7568)
Hf (0.6111, 0.6298, 0.2432)
Hf (0.7654, 0.1693, 0.5146)
Hf (0.9353, 0.7183, 0.8454)
Re (0.5000, 0.0000, 0.0000)
N (0.0000, 0.5000, 0.5000)

Uncorrected formation energy in meV/atom: -515


A relaxed structure of HoAl3Cu. Source: the Alexandria database, functional PBE.

abc: 8.2383 4.0645 10.7105
angles: 90.00 90.00 90.00
Positions (direct):
Ho (0.1789, 0.2500, 0.0031)
Ho (0.3211, 0.7500, 0.5031)
Ho (0.6789, 0.2500, 0.4969)
Ho (0.8211, 0.7500, 0.9969)
Al (0.0616, 0.2500, 0.5896)
Al (0.1104, 0.7500, 0.7879)
Al (0.1432, 0.7500, 0.2160)
Al (0.3568, 0.2500, 0.7160)
Al (0.3896, 0.2500, 0.2879)
Al (0.4384, 0.7500, 0.0896)
Al (0.5616, 0.2500, 0.9104)
Al (0.6104, 0.7500, 0.7121)
Al (0.6432, 0.7500, 0.2840)
Al (0.8568, 0.2500, 0.7840)
Al (0.8896, 0.2500, 0.2121)
Al (0.9384, 0.7500, 0.4104)
Cu (0.1098, 0.2500, 0.3619)
Cu (0.3902, 0.7500, 0.8619)
Cu (0.6098, 0.2500, 0.1381)
Cu (0.8902, 0.7500, 0.6381)

ΔH_f (0 K) in eV/atom: -0.41
Energy above the lowest structure with this stoichiometry in meV/atom: 19


A relaxed structure of PmZn4Pd2. Source: the Alexandria database, functional PBE.

abc: 7.5932 7.5932 4.2658
angles: 90.00 90.00 90.00
Positions (direct):
Pm (0.0000, 0.0000, 0.0000)
Pm (0.5000, 0.5000, 0.5000)
Zn (0.0956, 0.3524, 0.5000)
Zn (0.1476, 0.5956, 0.0000)
Zn (0.3524, 0.0956, 0.5000)
Zn (0.4044, 0.8524, 0.0000)
Zn (0.5956, 0.1476, 0.0000)
Zn (0.6476, 0.9044, 0.5000)
Zn (0.8524, 0.4044, 0.0000)
Zn (0.9044, 0.6476, 0.5000)
Pd (0.2194, 0.7806, 0.5000)
Pd (0.2806, 0.2806, 0.0000)
Pd (0.7194, 0.7194, 0.0000)
Pd (0.7806, 0.2194, 0.5000)

ΔH_f (0 K) in eV/atom: -0.54


A relaxed structure of AsAuNF. Source: the Alexandria database, functional PBE.

abc: 4.0878 4.5070 5.0985
angles: 83.04 80.25 63.48
Positions (direct):
As (0.0000, 0.0000, 0.0000)
Au (0.7524, 0.5558, 0.2696)
N (0.2106, 0.6676, 0.2309)
F (0.3870, 0.0434, 0.7824)

Uncorrected formation energy in meV/atom: -145
Energy above the lowest structure with this stoichiometry in meV/atom: 266


A relaxed structure of RbBaAs2Br. Source: the Alexandria database, functional PBE.

abc: 6.4788 6.4788 6.3065
angles: 90.00 90.00 90.00
Positions (direct):
Rb (0.0000, 0.0000, 0.0000)
Ba (0.5000, 0.5000, 0.5000)
As (0.0000, 0.5000, 0.5000)
As (0.5000, 0.0000, 0.5000)
Br (0.5000, 0.5000, 0.0000)

Uncorrected formation energy in meV/atom: -251
Energy above the lowest structure with this stoichiometry in meV/atom: 0


A relaxed structure of YMg4Pd5. Source: the Alexandria database, functional PBE.

abc: 3.2835 3.2835 16.0557
angles: 90.00 90.00 90.00
Positions (direct):
Y (0.0000, 0.0000, 0.0000)
Mg (0.0000, 0.0000, 0.2126)
Mg (0.0000, 0.0000, 0.4043)
Mg (0.0000, 0.0000, 0.5957)
Mg (0.0000, 0.0000, 0.7874)
Pd (0.5000, 0.5000, 0.1167)
Pd (0.5000, 0.5000, 0.3081)
Pd (0.5000, 0.5000, 0.5000)
Pd (0.5000, 0.5000, 0.6919)
Pd (0.5000, 0.5000, 0.8833)

ΔH_f (0 K) in eV/atom: -0.75


A relaxed structure of Na3Tl2Sn6. Source: the Alexandria database, functional PBE.

abc: 8.7407 8.7407 5.0927
angles: 90.00 90.00 120.00
Positions (direct):
Na (0.0000, 0.5596, 0.0000)
Na (0.4404, 0.4404, 0.0000)
Na (0.5596, 0.0000, 0.0000)
Tl (0.3333, 0.6667, 0.5000)
Tl (0.6667, 0.3333, 0.5000)
Sn (0.0000, 0.2150, 0.0000)
Sn (0.0000, 0.7823, 0.5000)
Sn (0.2150, 0.0000, 0.0000)
Sn (0.2177, 0.2177, 0.5000)
Sn (0.7823, 0.0000, 0.5000)
Sn (0.7850, 0.7850, 0.0000)

ΔH_f (0 K) in eV/atom: -0.01


A relaxed structure of NdGaHg. Source: the Alexandria database, functional PBE.

abc: 6.2681 6.2681 6.2681
angles: 146.86 146.86 47.57
Positions (direct):
Nd (0.0000, 0.0000, 0.0000)
Ga (0.6717, 0.6717, 0.0000)
Hg (0.3135, 0.3135, 0.0000)

ΔH_f (0 K) in eV/atom: -0.34
Energy above the lowest structure with this stoichiometry in meV/atom: 187


A relaxed structure of Nd3Dy2YTm6. Source: the Alexandria database, functional PBE.

abc: 6.1645 6.1645 11.7060
angles: 95.02 95.02 119.97
Positions (direct):
Nd (0.0000, 0.0000, 0.0000)
Nd (0.3333, 0.6667, 0.0000)
Nd (0.6667, 0.3333, 0.0000)
Dy (0.1666, 0.8334, 0.5000)
Dy (0.8334, 0.1666, 0.5000)
Y (0.5000, 0.5000, 0.5000)
Tm (0.0833, 0.4174, 0.2531)
Tm (0.2485, 0.2485, 0.7470)
Tm (0.4174, 0.0833, 0.2531)
Tm (0.5826, 0.9166, 0.7469)
Tm (0.7515, 0.7515, 0.2530)
Tm (0.9166, 0.5826, 0.7469)

ΔH_f (0 K) in eV/atom: 0.02


A relaxed structure of CoTe2Ir. Source: the Alexandria database, functional PBE.

abc: 4.7884 4.7884 4.7884
angles: 60.00 60.00 60.00
Positions (direct):
Co (0.0000, 0.0000, 0.0000)
Te (0.5000, 0.5000, 0.5000)
Te (0.7500, 0.7500, 0.7500)
Ir (0.2500, 0.2500, 0.2500)

Uncorrected formation energy in meV/atom: 922
Energy above the lowest structure with this stoichiometry in meV/atom: 893


A relaxed structure of MnAlPd. Source: the Alexandria database, functional PBE.

abc: 10.9192 10.9192 10.9192
angles: 165.26 165.26 20.91
Positions (direct):
Mn (0.0456, 0.0456, 0.0000)
Mn (0.9544, 0.9544, 0.0000)
Al (0.3763, 0.3763, 0.0000)
Al (0.6237, 0.6237, 0.0000)
Pd (0.2000, 0.2000, 0.0000)
Pd (0.8000, 0.8000, 0.0000)

ΔH_f (0 K) in eV/atom: -0.23


A relaxed structure of Eu2Pu. Source: the Alexandria database, functional PBE.

abc: 8.5690 8.5690 8.5690
angles: 155.38 155.38 35.09
Positions (direct):
Eu (0.1578, 0.1578, 0.0000)
Eu (0.8422, 0.8422, 0.0000)
Pu (0.5000, 0.5000, 0.0000)

ΔH_f (0 K) in eV/atom: 0.22


A relaxed structure of SrZrCdGa2. Source: the Alexandria database, functional PBE.

abc: 5.5797 5.5797 5.4041
angles: 90.00 90.00 90.00
Positions (direct):
Sr (0.0000, 0.0000, 0.0000)
Zr (0.0000, 0.0000, 0.5000)
Cd (0.5000, 0.5000, 0.5000)
Ga (0.0000, 0.5000, 0.0000)
Ga (0.5000, 0.0000, 0.0000)

ΔH_f (0 K) in eV/atom: 1.30


A relaxed structure of TlBiO4. Source: the Alexandria database, functional PBE.

abc: 6.2309 5.1157 6.0870
angles: 90.00 111.79 90.00
Positions (direct):
Tl (0.0000, 0.0000, 0.0000)
Tl (0.0000, 0.5000, 0.5000)
Bi (0.5000, 0.0000, 0.5000)
Bi (0.5000, 0.5000, 0.0000)
O (0.1704, 0.1842, 0.3513)
O (0.1704, 0.3158, 0.8513)
O (0.3514, 0.7236, 0.6747)
O (0.3514, 0.7764, 0.1747)
O (0.6486, 0.2236, 0.8253)
O (0.6486, 0.2764, 0.3253)
O (0.8296, 0.6842, 0.1487)
O (0.8296, 0.8158, 0.6487)

Uncorrected formation energy in meV/atom: -726


A relaxed structure of CsThCu2Br8. Source: the Alexandria database, functional PBE.

abc: 6.8156 6.8156 10.7099
angles: 95.23 95.23 70.25
Positions (direct):
Cs (0.0000, 0.0000, 0.0000)
Th (0.0000, 0.0000, 0.5000)
Cu (0.3621, 0.3621, 0.7179)
Cu (0.6379, 0.6379, 0.2821)
Br (0.2378, 0.7383, 0.3047)
Br (0.2580, 0.2580, 0.5083)
Br (0.2617, 0.7622, 0.6953)
Br (0.3282, 0.3282, 0.9257)
Br (0.6718, 0.6718, 0.0743)
Br (0.7383, 0.2378, 0.3047)
Br (0.7420, 0.7420, 0.4917)
Br (0.7622, 0.2617, 0.6953)

Uncorrected formation energy in meV/atom: -1108


A relaxed structure of LiMgPbCl5. Source: the Alexandria database, functional PBE.

abc: 7.0474 7.0474 9.3837
angles: 103.84 103.84 107.76
Positions (direct):
Li (0.1811, 0.8189, 0.7500)
Li (0.8189, 0.1811, 0.2500)
Mg (0.5000, 0.5000, 0.0000)
Mg (0.5000, 0.5000, 0.5000)
Pb (0.1619, 0.8381, 0.2500)
Pb (0.8381, 0.1619, 0.7500)
Cl (0.1358, 0.2294, 0.4333)
Cl (0.1851, 0.5966, 0.8985)
Cl (0.2294, 0.1358, 0.9333)
Cl (0.4034, 0.8149, 0.6015)
Cl (0.4225, 0.5775, 0.2500)
Cl (0.5775, 0.4225, 0.7500)
Cl (0.5966, 0.1851, 0.3985)
Cl (0.7706, 0.8642, 0.0667)
Cl (0.8149, 0.4034, 0.1015)
Cl (0.8642, 0.7706, 0.5667)

Uncorrected formation energy in meV/atom: -1537


A relaxed structure of EuMgAl4. Source: the Alexandria database, functional PBE.

abc: 5.5917 5.5917 5.5917
angles: 60.00 60.00 60.00
Positions (direct):
Eu (0.0000, 0.0000, 0.0000)
Mg (0.7500, 0.7500, 0.7500)
Al (0.3746, 0.3746, 0.3746)
Al (0.3746, 0.3746, 0.8762)
Al (0.3746, 0.8762, 0.3746)
Al (0.8762, 0.3746, 0.3746)

ΔH_f (0 K) in eV/atom: -0.19


A relaxed structure of Er2CoRu3. Source: the Alexandria database, functional PBE.

abc: 5.2344 5.2344 5.2344
angles: 60.31 60.31 60.31
Positions (direct):
Er (0.1245, 0.1245, 0.1245)
Er (0.8755, 0.8755, 0.8755)
Co (0.5000, 0.5000, 0.5000)
Ru (0.0000, 0.5000, 0.5000)
Ru (0.5000, 0.0000, 0.5000)
Ru (0.5000, 0.5000, 0.0000)

ΔH_f (0 K) in eV/atom: -0.33


A relaxed structure of HfSiMo2Ir. Source: the Alexandria database, functional PBE.

abc: 4.4154 4.4154 4.7664
angles: 90.00 90.00 90.00
Positions (direct):
Hf (0.0000, 0.0000, 0.0000)
Si (0.0000, 0.0000, 0.5000)
Mo (0.0000, 0.5000, 0.5000)
Mo (0.5000, 0.0000, 0.5000)
Ir (0.5000, 0.5000, 0.0000)

Uncorrected formation energy in meV/atom: 780


A relaxed structure of SmCdAg4. Source: the Alexandria database, functional PBE.

abc: 5.6112 5.6112 5.6112
angles: 60.00 60.00 60.00
Positions (direct):
Sm (0.0000, 0.0000, 0.0000)
Cd (0.7500, 0.7500, 0.7500)
Ag (0.3754, 0.3754, 0.3754)
Ag (0.3754, 0.3754, 0.8736)
Ag (0.3754, 0.8736, 0.3754)
Ag (0.8736, 0.3754, 0.3754)

ΔH_f (0 K) in eV/atom: -0.20


A relaxed structure of MnSi2Br. Source: the Alexandria database, functional PBE.

abc: 5.6089 5.6089 5.6089
angles: 149.48 125.84 63.45
Positions (direct):
Mn (0.0000, 0.0000, 0.0000)
Si (0.2211, 0.7211, 0.5000)
Si (0.4509, 0.4509, 0.0000)
Br (0.7679, 0.2679, 0.5000)

Uncorrected formation energy in meV/atom: 540
Energy above the lowest structure with this stoichiometry in meV/atom: 498


A relaxed structure of ReTe2Br. Source: the Alexandria database, functional PBE.

abc: 3.4170 7.2581 7.2581
angles: 42.81 90.00 90.00
Positions (direct):
Re (0.0000, 0.0000, 0.0000)
Te (0.0000, 0.4561, 0.4561)
Te (0.5000, 0.1415, 0.1415)
Br (0.5000, 0.8431, 0.8431)

Uncorrected formation energy in meV/atom: 241
Energy above the lowest structure with this stoichiometry in meV/atom: 281